Record 1
CaYSi2B | Alexandria | PBE | relaxed; crystal system = tetragonal; D(E_F) = 3.80 states/eV/f.u.; formation energy (no corrections) = 308 meV/atom; density = 3502 kg/m³
1.0
4.441 0.000 0.000
0.000 4.441 0.000
0.000 0.000 4.711
Y B Si Ca
1 1 2 1
direct
0.500 0.500 0.500
0.000 0.000 0.000
0.000 0.500 0.000
0.500 0.000 0.000
0.000 0.000 0.500



Record 2
LiTm3Np3S8 | Alexandria | PBE | relaxed; crystal system = trigonal; D(E_F) = 31.57 states/eV/f.u.; formation energy (no corrections) = -1653 meV/atom; density = 7573 kg/m³
1.0
7.715 0.000 0.000
-3.858 6.681 -0.023
0.000 -4.433 6.317
S Tm Np Li
8 3 3 1
direct
0.750 0.997 0.743
0.748 0.496 0.744
0.252 0.504 0.256
0.754 0.507 0.257
0.250 0.003 0.257
0.246 0.997 0.743
0.246 0.493 0.743
0.754 0.003 0.257
0.000 0.500 0.500
0.500 0.000 0.500
0.500 0.500 0.500
0.000 0.000 0.000
0.000 0.500 0.000
0.500 0.500 0.000
0.000 0.000 0.500



Record 3
ZrSiH2O | Alexandria | PBE | relaxed; E_tot = -5.50 eV/atom; crystal system = tetragonal; D(E_F) = 1.53 states/eV/f.u.; density = 3663 kg/m³
1.0
-3.468 -0.753 1.572
1.219 -3.857 0.842
1.314 1.170 3.460
Zr O H Si
1 1 2 1
direct
0.000 0.000 0.000
0.000 0.500 0.000
0.000 0.000 0.500
0.500 0.000 0.000
0.500 0.500 0.500



Record 4
SmLuAl | Alexandria | PBE | relaxed; crystal system = trigonal; D(E_F) = 1.96 states/eV/f.u.; density = 7330 kg/m³; DFT formation energy = -143.3 meV/atom
1.0
3.600 0.000 0.000
0.000 5.060 0.000
0.000 -2.530 4.382
Al Sm Lu
1 1 1
direct
0.616 0.333 0.667
0.969 0.000 0.000
0.416 0.667 0.333



Record 5
SrCa2Eu | Alexandria | PBE | relaxed; crystal system = cubic; D(E_F) = 4.40 states/eV/f.u.; density = 2939 kg/m³; DFT formation energy = 32.7 meV/atom
1.0
6.345 0.000 0.000
3.173 5.495 0.000
3.173 1.832 5.181
Eu Ca Sr
1 2 1
direct
0.000 0.000 0.000
0.250 0.250 0.250
0.750 0.750 0.750
0.500 0.500 0.500



Record 6
Ta2HgSe | Alexandria | PBE | relaxed; crystal system = orthorhombic; D(E_F) = 3.26 states/eV/f.u.; formation energy (no corrections) = 227 meV/atom; density = 14076 kg/m³
1.0
-5.118 2.218 1.693
-5.074 -2.117 -1.935
5.024 -0.935 2.804
Ta Hg Se
2 1 1
direct
0.235 0.735 0.500
0.975 0.975 0.000
0.512 0.512 0.000
0.778 0.278 0.500